First-principles (PBE) data for Cs2Sc3PaO8 after structural relaxation, as listed in the Alexandria database.

The structure in extended XYZ format:
```
14
Lattice="-2.361 -3.556 5.295 -2.184 -6.379 -0.890 5.081 -5.752 2.770" Properties=species:S:1:pos:R:3 pbc="T T T"
Sc -0.721 -2.106 2.632
Cs 2.604 -4.835 2.281
O -1.582 -5.746 4.171
O 3.905 -7.313 3.449
O 2.847 -10.403 3.017
O -2.513 -8.464 3.791
O -0.052 -3.853 1.757
O -1.507 -6.949 1.535
O -1.775 -10.960 4.951
Sc -1.709 -4.992 2.229
Cs 0.509 -7.932 3.635
Pa -3.575 -10.294 4.596
O 2.761 -9.035 6.014
Sc -0.641 -3.383 -0.166
```

Output
Raw total energy   -7.943 eV/atom
Energy relative to the elements, uncorrected   -2.953 eV per atom
SG   R3m



First-principles (PBE) data for Sr3SnPt3 after structural relaxation, as listed in the Alexandria database.

The structure in extended XYZ format:
```
14
Lattice="-0.398 -3.012 -5.307 -6.512 -5.440 3.575 -2.357 7.816 -4.259" Properties=species:S:1:pos:R:3 pbc="T T T"
Sr -6.386 -1.023 -4.225
Pt -6.574 1.717 -5.766
Pt -2.693 -2.353 -0.224
Sr -6.534 3.119 -3.042
Sn -5.227 -1.774 -0.363
Pt -6.988 -3.381 0.681
Sr -2.733 -3.755 -2.948
Pt -3.268 -1.047 -4.445
Sr -2.881 0.387 -1.765
Pt -2.280 2.745 -6.672
Sr -2.110 4.427 -4.116
Pt -5.999 0.412 -1.546
Sn -4.041 1.138 -5.628
Sr -7.158 -5.063 -1.875
```

Output
Raw total energy   -4.487 eV/atom
E above lowest polymorph   219 meV/atom
SG   P6_3/m
Energy relative to the elements   -0.6055 eV per atom



First-principles (PBE) data for AcTm5Ag6 after structural relaxation, as listed in the Alexandria database.

The structure in extended XYZ format:
```
12
Lattice="5.070 0.002 -1.069 -0.003 7.247 -0.001 -0.955 0.000 8.182" Properties=species:S:1:pos:R:3 pbc="T T T"
Tm 3.054 3.625 1.984
Ag 0.551 1.903 2.670
Ac 0.000 0.000 0.000
Tm 1.058 3.625 5.127
Tm -0.002 3.624 0.000
Ag 2.533 5.260 -0.535
Ag 3.562 5.347 4.442
Ag 0.549 5.345 2.669
Ag 1.580 1.990 7.647
Tm 1.037 7.248 5.032
Tm 3.076 0.002 2.079
Ag 3.563 1.905 4.442
```

Output
Raw total energy   -3.930 eV/atom
SG   P2/m
Energy relative to the elements   -0.2990 eV per atom



First-principles (PBE) data for Rb2CrReBr6 after structural relaxation, as listed in the Alexandria database.

The structure in extended XYZ format:
```
10
Lattice="7.562 0.000 0.000 0.000 7.562 0.000 3.781 3.781 5.347" Properties=species:S:1:pos:R:3 pbc="T T T"
Br 1.846 5.716 0.000
Rb 7.562 3.781 2.673
Br 7.562 7.562 2.609
Br 1.846 1.846 0.000
Rb 3.781 7.562 2.673
Re 0.000 0.000 0.000
Cr 3.781 3.781 0.000
Br 3.781 3.781 2.738
Br 5.716 5.716 0.000
Br 5.716 1.846 0.000
```

Output
Raw total energy   -4.088 eV/atom
Energy relative to the elements, uncorrected   -0.684 eV per atom
SG   Fm-3m



First-principles (PBE) data for Ca8Hg2Ge3 after structural relaxation, as listed in the Alexandria database.

The structure in extended XYZ format:
```
13
Lattice="-1.009 4.250 -2.770 1.750 -4.578 -7.663 -7.594 -3.872 -3.175" Properties=species:S:1:pos:R:3 pbc="T T T"
Ca -3.222 1.050 -6.873
Ca -6.474 -2.920 -6.951
Ca -1.760 -3.276 -9.215
Ca -5.094 -0.924 -4.392
Ge -0.505 2.125 -1.385
Hg -1.972 0.004 -4.105
Hg -4.882 -4.204 -9.503
Ca -1.691 3.264 -4.034
Ca -5.162 -7.464 -9.573
Ca -0.380 -1.280 -6.656
Ge -5.158 -4.056 -4.345
Ca -3.631 -5.250 -6.734
Ge -0.686 -4.394 -6.492
```

Output
Raw total energy   -2.762 eV/atom
SG   Cmmm
Energy relative to the elements   -0.4178 eV per atom



First-principles (PBE) data for Pm2BiI after structural relaxation, as listed in the Alexandria database.

The structure in extended XYZ format:
```
4
Lattice="3.947 0.000 0.000 0.000 3.947 0.000 0.000 0.000 7.886" Properties=species:S:1:pos:R:3 pbc="T T T"
Pm 0.000 0.000 2.120
Pm 0.000 0.000 5.766
Bi 1.973 1.973 3.943
I 1.973 1.973 0.000
```

Output
Raw total energy   -4.522 eV/atom
Energy relative to the elements, uncorrected   -0.789 eV per atom
E above lowest polymorph   64 meV/atom
SG   P4/mmm



First-principles (PBE) data for BaTlHg3 after structural relaxation, as listed in the Alexandria database.

The structure in extended XYZ format:
```
20
Lattice="5.599 0.000 0.000 0.000 10.922 0.000 0.000 0.000 10.079" Properties=species:S:1:pos:R:3 pbc="T T T"
Tl 4.199 4.553 1.412
Ba 1.400 8.044 5.128
Hg 1.400 9.626 8.556
Ba 1.400 2.584 9.991
Tl 1.400 0.908 6.452
Hg 4.199 1.296 1.523
Hg 4.199 6.537 6.624
Hg 4.199 9.643 6.714
Ba 4.199 8.338 0.088
Hg 1.400 4.165 6.563
Tl 1.400 6.369 8.667
Tl 4.199 10.013 3.627
Hg 1.400 9.845 1.584
Ba 4.199 2.877 4.951
Hg 1.400 4.384 3.455
Hg 4.199 1.076 8.495
Hg 4.199 4.182 8.405
Hg 1.400 6.740 1.674
Hg 4.199 6.756 3.516
Hg 1.400 1.279 3.366
```

Output
Raw total energy   -1.368 eV/atom
E above lowest polymorph   0 meV/atom
SG   Pnma
Energy relative to the elements   -0.3293 eV per atom



First-principles (PBE) data for LiInAu4 after structural relaxation, as listed in the Alexandria database.

The structure in extended XYZ format:
```
6
Lattice="-3.540 0.957 -1.331 -2.054 -3.714 -2.925 -4.013 0.647 5.422" Properties=species:S:1:pos:R:3 pbc="T T T"
Au -2.260 -1.501 -0.785
Li 0.000 0.000 0.000
In -4.803 -1.055 0.583
Au -5.071 1.049 2.809
Au -7.347 -0.610 1.951
Au -4.535 -3.160 -1.643
```

Output
Raw total energy   -3.248 eV/atom
E above lowest polymorph   0 meV/atom
SG   C2/m
Energy relative to the elements   -0.2881 eV per atom